DFT (GGA-PBE) results for an optimized crystal structure of Zr2Zn16Ru.

Its space-group type is No. 160. As for the density: 7.6 g/cm3. The calculation puts the size of the total moment at 0.00 μB/atom. Its crystal system is trigonal. Its energy relative to the elements is -134 meV/atom.

```
Zr2Zn16Ru
1.0
-4.925 -3.874 -2.305
3.581 -3.252 -4.602
1.389 -5.393 3.682
Zn Zr Ru
16 2 1
Direct
0.642 0.148 0.642
0.364 0.830 0.364
0.000 0.000 0.500
0.707 0.997 0.289
0.997 0.289 0.707
0.642 0.642 0.148
0.500 0.000 0.000
0.148 0.642 0.642
0.000 0.500 0.000
0.997 0.707 0.289
0.289 0.707 0.997
0.105 0.105 0.105
0.707 0.289 0.997
0.289 0.997 0.707
0.364 0.364 0.830
0.830 0.364 0.364
0.339 0.339 0.339
0.684 0.684 0.684
0.896 0.896 0.896
```

---

DFT (GGA-PBE) results for an optimized crystal structure of Zr4Zn3Ru.

Its space-group type is No. 123. As for the density: 7.5 g/cm3. The calculation puts the size of the total moment at 0.00 μB/atom. Its crystal system is tetragonal. Its energy relative to the elements is -357 meV/atom.

```
Zr4Zn3Ru
1.0
3.330 0.000 0.000
0.000 3.330 0.000
0.000 0.000 13.276
Zr Zn Ru
4 3 1
Direct
0.000 0.000 0.880
0.000 0.000 0.120
0.000 0.000 0.626
0.000 0.000 0.374
0.500 0.500 0.500
0.500 0.500 0.751
0.500 0.500 0.249
0.500 0.500 0.000
```